## Mg4Si2Pt (PBE-GGA)

Data for a geometry-optimized Mg4Si2Pt structure.

```
7
Lattice="-3.3473 2.5070 -1.4344 -1.3251 -0.2788 -4.2087 -7.0316 -5.3494 0.2460" Properties=species:S:1:pos:R:3 pbc="T T T"
Mg -7.8776 -3.8149 -1.9115
Mg -3.7057 -1.6480 -1.0463
Mg -7.9983 -1.4732 -4.3508
Mg -3.8264 0.6937 -3.4856
Si -5.4874 -3.6308 -0.3540
Si -6.2167 0.5096 -5.0431
Pt 0.0000 0.0000 0.0000
```

* magnetic moment: 0.00 μB per cell
* E_tot: -3.660 eV per atom
* Fermi-level density of states: 0.436 states/eV per atom
* formation energy from raw total energies: -0.337 eV per atom